(1)
CrNi2Ge after structural relaxation. Source: Alexandria, functional PBE.

The structure in POSCAR format:
```
CrNi2Ge
1.0
-0.433 -2.347 -2.647
-0.872 -2.513 2.372
-8.711 -0.232 -0.770
Ge Cr Ni
2 2 4
direct
0.000 0.000 0.000 Ge
0.750 0.250 0.500 Ge
0.250 0.750 0.500 Cr
0.500 0.500 0.000 Cr
0.375 0.371 0.750 Ni
0.121 0.625 0.250 Ni
0.875 0.879 0.750 Ni
0.629 0.125 0.250 Ni
```

Computed properties:
Uncorrected energy (hartree per atom): -0.228
M_tot (μB/f.u.): 2.28

(2)
Cr2Ni8Ge after structural relaxation. Source: Alexandria, functional PBE.

The structure in POSCAR format:
```
Cr2Ni8Ge
1.0
-0.441 -4.261 0.783
0.453 -4.999 -4.040
6.248 -2.906 -0.841
Ni Cr Ge
8 2 1
direct
0.226 0.616 0.281 Ni
0.226 0.896 0.719 Ni
0.704 0.553 0.000 Ni
0.774 0.384 0.719 Ni
0.500 0.189 0.621 Ni
0.774 0.104 0.281 Ni
0.296 0.447 0.000 Ni
0.500 0.811 0.379 Ni
0.000 0.316 0.369 Cr
0.000 0.684 0.631 Cr
0.500 0.000 0.000 Ge
```

Computed properties:
Uncorrected energy (hartree per atom): -0.229
M_tot (μB/f.u.): 4.04

(3)
CrNiGe3 after structural relaxation. Source: Alexandria, functional PBE.

The structure in POSCAR format:
```
CrNiGe3
1.0
-1.501 3.585 -2.446
-3.496 -2.532 -1.566
-2.571 1.351 3.557
Ge Cr Ni
3 1 1
direct
0.000 0.500 0.000 Ge
0.000 0.000 0.500 Ge
0.500 0.000 0.000 Ge
0.500 0.500 0.500 Cr
0.000 0.000 0.000 Ni
```

Computed properties:
Distance to the lowest polymorph of the same formula (meV per atom): 0.0
Uncorrected energy (hartree per atom): -0.197
M_tot (μB/f.u.): 4.37

(4)
Cr2Ni2Ge after structural relaxation. Source: Alexandria, functional PBE.

The structure in POSCAR format:
```
Cr2Ni2Ge
1.0
-3.938 -3.144 -3.023
-1.111 -3.215 4.792
-2.676 2.400 0.990
Cr Ni Ge
4 4 2
direct
0.137 0.637 0.500 Cr
0.363 0.137 0.500 Cr
0.863 0.363 0.500 Cr
0.637 0.863 0.500 Cr
0.142 0.358 0.000 Ni
0.358 0.858 0.000 Ni
0.858 0.642 0.000 Ni
0.642 0.142 0.000 Ni
0.000 0.000 0.000 Ge
0.500 0.500 0.000 Ge
```

Computed properties:
Uncorrected energy (hartree per atom): -0.251
M_tot (μB/f.u.): 1.40

(5)
Cr2Ni9Ge after structural relaxation. Source: Alexandria, functional PBE.

The structure in POSCAR format:
```
Cr2Ni9Ge
1.0
-1.683 -2.856 1.291
0.374 -1.638 -3.136
9.337 -4.044 3.227
Ni Ge Cr
9 1 2
direct
0.000 0.500 0.831 Ni
0.500 0.000 0.500 Ni
0.500 0.500 0.666 Ni
0.500 0.000 0.169 Ni
0.500 0.500 0.334 Ni
0.000 0.500 0.500 Ni
0.500 0.500 0.000 Ni
0.500 0.000 0.831 Ni
0.000 0.500 0.169 Ni
0.000 0.000 0.000 Ge
0.000 0.000 0.666 Cr
0.000 0.000 0.334 Cr
```

Computed properties:
Uncorrected energy (hartree per atom): -0.236
M_tot (μB/f.u.): 4.22

(6)
CrNi2Ge after structural relaxation. Source: Alexandria, functional PBE.

The structure in POSCAR format:
```
CrNi2Ge
1.0
2.636 0.000 0.000
0.000 2.636 0.000
0.000 0.000 6.922
Ni Ge Cr
2 1 1
direct
0.000 0.000 0.253 Ni
0.000 0.000 0.747 Ni
0.500 0.500 0.000 Ge
0.500 0.500 0.500 Cr
```

Computed properties:
Uncorrected energy (hartree per atom): -0.235
M_tot (μB/f.u.): 0.49

(7)
Cr3NiGe after structural relaxation. Source: Alexandria, functional PBE.

The structure in POSCAR format:
```
Cr3NiGe
1.0
-0.343 2.571 3.611
-4.153 -1.455 0.641
1.552 -3.323 2.513
Ge Ni Cr
1 1 3
direct
0.500 0.500 0.500 Ge
0.000 0.000 0.000 Ni
0.000 0.500 0.000 Cr
0.500 0.000 0.000 Cr
0.000 0.000 0.500 Cr
```

Computed properties:
Distance to the lowest polymorph of the same formula (meV per atom): 0.0
Uncorrected energy (hartree per atom): -0.249
M_tot (μB/f.u.): 10.15

(8)
CrNiGe3 after structural relaxation. Source: Alexandria, functional PBE.

The structure in POSCAR format:
```
CrNiGe3
1.0
4.579 0.000 0.000
0.000 4.579 0.000
0.000 0.000 4.579
Ge Cr Ni
3 1 1
direct
0.500 0.000 0.000 Ge
0.000 0.500 0.000 Ge
0.000 0.000 0.500 Ge
0.000 0.000 0.000 Cr
0.500 0.500 0.500 Ni
```

Computed properties:
Distance to the lowest polymorph of the same formula (meV per atom): 160.1
Uncorrected energy (hartree per atom): -0.191
M_tot (μB/f.u.): 0.16

(9)
CrNi3Ge after structural relaxation. Source: Alexandria, functional PBE.

The structure in POSCAR format:
```
CrNi3Ge
1.0
-0.542 -1.432 3.996
0.343 -4.030 -1.398
4.231 0.143 0.625
Ge Ni Cr
1 3 1
direct
0.500 0.500 0.500 Ge
0.500 0.000 0.000 Ni
0.000 0.500 0.000 Ni
0.000 0.000 0.500 Ni
0.000 0.000 0.000 Cr
```

Computed properties:
Uncorrected energy (hartree per atom): -0.193
M_tot (μB/f.u.): 0.00

no.,energy of formation (eV/f.u.)
1,1.039
2,1.473
3,2.446
4,1.220
5,-1.151
6,0.263
7,5.449
8,3.246
9,5.332